[1]
## TcN (PBE)

Data for a relaxed structure of TcN.

Calculated values
The space group is I-43m (217). Its magnetization is 0.0 Bohr magnetons per cell. As for the uncorrected formation energy: 0.32 eV/atom. Its density is 5894 kg/m³.

The structure in extended XYZ format:
```
16
Lattice="6.3202 0.0000 0.0000 0.0000 6.3202 0.0000 0.0000 0.0000 6.3202" Properties=species:S:1:pos:R:3 pbc="T T T"
N 2.0598 2.0598 4.2604
Tc 2.2429 4.0773 4.0773
Tc 0.9172 0.9172 5.4030
N 1.1003 5.2198 5.2198
Tc 5.4030 0.9172 0.9172
Tc 0.9172 5.4030 0.9172
N 1.1003 1.1003 1.1003
Tc 4.0773 4.0773 2.2429
Tc 4.0773 2.2429 4.0773
N 2.0598 4.2604 2.0598
N 4.2604 2.0598 2.0598
N 5.2198 1.1003 5.2198
N 5.2198 5.2198 1.1003
Tc 5.4030 5.4030 5.4030
Tc 2.2429 2.2429 2.2429
N 4.2604 4.2604 4.2604
```

[2]
## CaMgTcH2 (PBE)

Data for a relaxed structure of CaMgTcH2.

Calculated values
The space group is I4mm (107). Its magnetization is 0.0 Bohr magnetons per cell. The value obtained for the total energy is -4.2625 eV/atom. Its density is 3933 kg/m³.

The structure in extended XYZ format:
```
10
Lattice="3.5123 0.0000 0.0000 0.0000 3.5123 0.0000 0.0000 0.0000 11.2536" Properties=species:S:1:pos:R:3 pbc="T T T"
H 1.7561 0.0000 3.9763
H 0.0000 1.7561 3.9763
Ca 1.7561 1.7561 5.4413
Tc 1.7561 1.7561 9.0100
H 1.7561 0.0000 9.6031
Ca 0.0000 0.0000 11.0681
Tc 0.0000 0.0000 3.3832
Mg 1.7561 1.7561 2.1408
H 0.0000 1.7561 9.6031
Mg 0.0000 0.0000 7.7676
```

[3]
## KCr2Rh (PBE)

Data for a relaxed structure of KCr2Rh.

Calculated values
The space group is I-4m2 (119). Its magnetization is 0.6 Bohr magnetons per cell. The value obtained for the energy relative to the elements is 1.064 eV per atom. Its density is 5525 kg/m³.

The structure in extended XYZ format:
```
4
Lattice="4.7153 -0.0006 0.0000 0.0261 4.7152 0.0000 -2.3707 -2.3573 3.3252" Properties=species:S:1:pos:R:3 pbc="T T T"
Rh 2.3576 -0.0003 1.6626
K 2.3707 2.3573 0.0000
Cr 0.0000 0.0000 0.0000
Cr 0.0130 2.3576 1.6626
```

[4]
## Ca4Ga2Pb5 (PBE)

Data for a relaxed structure of Ca4Ga2Pb5.

Calculated values
The space group is P2/m (10). Its magnetization is 0.0 Bohr magnetons per cell. The value obtained for the energy relative to the elements is -0.370 eV per atom. Its density is 6704 kg/m³.

The structure in extended XYZ format:
```
11
Lattice="-3.2100 2.9865 -1.3624 0.3755 -2.8547 -7.1425 -6.6640 -6.2879 1.9176" Properties=species:S:1:pos:R:3 pbc="T T T"
Ca -7.0291 -6.1561 -4.6695
Ca -2.4694 0.0000 -1.9178
Ca -5.4876 -2.9472 -1.2670
Ga -2.5154 -2.6185 0.1867
Pb -0.5673 -3.3398 -5.9847
Pb -5.7213 -5.8028 0.7598
Pb 0.1877 -1.4273 -3.5712
Ga -3.7731 -6.5241 -5.4116
Ca -4.0109 -3.2089 -5.3202
Pb -4.1961 -5.7559 -2.7308
Pb -2.0924 -3.3868 -2.4941
```

[5]
## WAuBr2 (PBE)

Data for a relaxed structure of WAuBr2.

Calculated values
The space group is Cm (8). Its magnetization is 1.0 Bohr magnetons per cell. As for the uncorrected formation energy: 0.26 eV/atom. Its density is 7977 kg/m³.

The structure in extended XYZ format:
```
4
Lattice="5.2653 -0.0099 0.0028 4.3187 3.0120 0.0028 2.5924 0.8121 7.0781" Properties=species:S:1:pos:R:3 pbc="T T T"
W 6.8113 2.1336 4.4270
Br 2.3153 0.7253 2.3960
Au 9.4136 2.9488 4.4287
Br 11.9008 3.7278 6.4578
```

[6]
## ZrMn2Re (PBE)

Data for a relaxed structure of ZrMn2Re.

Calculated values
The space group is C2/m (12). Its magnetization is 6.0 Bohr magnetons per cell. The value obtained for the energy relative to the elements is 0.676 eV per atom. Its density is 9234 kg/m³.

The structure in extended XYZ format:
```
4
Lattice="-1.0547 2.4178 0.9176 -3.3556 0.0855 -4.0819 -1.5016 -2.4058 4.6052" Properties=species:S:1:pos:R:3 pbc="T T T"
Mn -1.4278 -1.0549 1.1516
Zr -2.2051 1.2516 -1.5821
Re -0.5273 1.2089 0.4588
Mn -4.4841 1.1524 0.2893
```

[7]
## Ca3Y (PBE)

Data for a relaxed structure of Ca3Y.

Calculated values
The space group is P4/nmm (129). Its magnetization is 0.0 Bohr magnetons per cell. The value obtained for the energy relative to the elements is 0.029 eV per atom. Its density is 2215 kg/m³.

The structure in extended XYZ format:
```
8
Lattice="-0.3466 -2.9541 2.3752 2.5954 1.5534 2.3107 -15.7081 10.4052 10.6486" Properties=species:S:1:pos:R:3 pbc="T T T"
Ca -10.7156 5.5063 8.3343
Ca -11.3148 9.1313 9.7055
Y -7.3558 6.5089 7.0216
Ca -14.8459 8.2422 11.1343
Y -7.2279 3.1960 5.9700
Ca -3.8681 4.1986 4.6573
Ca -3.2689 0.5735 3.2861
Ca 0.2622 1.4626 1.8573
```

[8]
## LiSnN (PBE)

Data for a relaxed structure of LiSnN.

Calculated values
The space group is C2/m (12). Its magnetization is 0.0 Bohr magnetons per cell. As for the uncorrected formation energy: -0.20 eV/atom. Its density is 5054 kg/m³.

The structure in extended XYZ format:
```
6
Lattice="3.2620 0.0000 0.0000 1.6310 5.9891 0.2047 1.6310 2.7180 4.7901" Properties=species:S:1:pos:R:3 pbc="T T T"
N 4.8930 6.5870 3.9173
N 1.6310 2.1201 1.0776
Li 3.2620 2.3056 2.5120
Sn 1.6310 4.3345 0.5408
Li 3.2620 6.4016 2.4828
Sn 4.8930 4.3727 4.4540
```

[9]
## SiSbOs2 (PBE)

Data for a relaxed structure of SiSbOs2.

Calculated values
The space group is R-3m (166). Its magnetization is 0.0 Bohr magnetons per cell. As for the uncorrected formation energy: 0.30 eV/atom. Its density is 13952 kg/m³.

The structure in extended XYZ format:
```
4
Lattice="8.3611 0.0158 0.0093 7.8228 2.9515 0.0093 7.8228 1.4343 2.5796" Properties=species:S:1:pos:R:3 pbc="T T T"
Si 18.0051 3.3012 1.9487
Os 0.2158 0.0396 0.0234
Sb 6.0017 1.1004 0.6496
Os 11.7876 2.1613 1.2758
```

[10]
## TlFeSi2 (PBE)

Data for a relaxed structure of TlFeSi2.

Calculated values
The space group is Cm (8). Its magnetization is 0.0 Bohr magnetons per cell. As for the uncorrected formation energy: 0.17 eV/atom. Its density is 7324 kg/m³.

The structure in extended XYZ format:
```
4
Lattice="4.2821 -0.0094 0.0140 3.3104 2.7161 0.0140 1.8472 0.6585 6.1580" Properties=species:S:1:pos:R:3 pbc="T T T"
Si 7.3132 2.6071 0.6575
Si 7.1961 2.5654 5.0455
Fe 1.8547 0.6612 0.5738
Tl 5.3881 1.9208 3.0304
```